Entry from the Alexandria database: a geometry-optimized Na2AcHoTe4 structure (PBE).

- E_tot: -34.57 eV/cell
- Crystal system: monoclinic
- DOS(E_F): 0.000 states/eV per atom
- Calculated volume: 34.7 Å³/atom

Structure (extended XYZ):
```
8
Lattice="-2.811 2.972 -2.095 -4.469 0.424 6.598 5.725 5.625 0.300" Properties=species:S:1:pos:R:3 pbc="T T T"
Na 1.457 4.299 -0.897
Na 0.628 3.025 3.449
Ac 0.000 0.000 0.000
Ho -3.640 1.698 2.252
Te -1.201 2.970 0.785
Te -0.353 6.051 4.018
Te 3.171 4.424 2.022
Te -1.916 1.625 4.876
```

Entry from the Alexandria database: a geometry-optimized NaAcHo2Tl4 structure (PBE).

- E_tot: -26.13 eV/cell
- Crystal system: trigonal
- DOS(E_F): 0.631 states/eV per atom
- Energy of formation: -0.26 eV per atom
- Calculated volume: 29.4 Å³/atom

Structure (extended XYZ):
```
8
Lattice="5.413 0.000 0.000 2.706 4.688 0.000 2.706 1.563 9.272" Properties=species:S:1:pos:R:3 pbc="T T T"
Na 5.413 3.125 4.636
Ac 0.000 0.000 0.000
Ho 8.119 4.688 6.782
Ho 2.706 1.563 2.490
Tl 5.413 3.125 7.922
Tl 8.119 4.688 3.579
Tl 2.706 1.563 5.693
Tl 5.413 3.125 1.350
```

Entry from the Alexandria database: a geometry-optimized AcHo2Nb structure (PBE).

- E_tot: -21.64 eV/cell
- Crystal system: trigonal
- DOS(E_F): 1.659 states/eV per atom
- Energy of formation: 0.42 eV per atom
- Calculated volume: 30.4 Å³/atom

Structure (extended XYZ):
```
4
Lattice="-0.620 -0.341 -3.364 -3.158 -0.804 -1.093 -3.969 11.177 -2.160" Properties=species:S:1:pos:R:3 pbc="T T T"
Ac -3.873 5.016 -3.308
Ho -4.679 8.455 -3.509
Ho -3.067 1.577 -3.108
Nb 0.000 0.000 0.000
```

Entry from the Alexandria database: a geometry-optimized Ac2HoNb structure (PBE).

- E_tot: -19.73 eV/cell
- Crystal system: trigonal
- DOS(E_F): 1.558 states/eV per atom
- Energy of formation: 0.78 eV per atom
- Calculated volume: 33.2 Å³/atom

Structure (extended XYZ):
```
4
Lattice="3.545 0.000 0.000 1.772 3.070 0.000 1.772 1.023 12.210" Properties=species:S:1:pos:R:3 pbc="T T T"
Ac 1.772 1.023 9.188
Ac 5.317 3.070 3.021
Ho 3.545 2.047 6.105
Nb 0.000 0.000 0.000
```

Entry from the Alexandria database: a geometry-optimized AcHoNbO6 structure (PBE).

- E_tot: -148.24 eV/cell
- Crystal system: tetragonal
- DOS(E_F): 0.628 states/eV per atom
- Calculated volume: 15.7 Å³/atom

Structure (extended XYZ):
```
18
Lattice="5.180 0.000 0.000 0.000 5.180 0.000 0.000 0.000 10.535" Properties=species:S:1:pos:R:3 pbc="T T T"
Ac 2.590 2.590 5.280
Ac 0.000 0.000 0.013
Ho 2.590 2.590 8.793
Ho 0.000 0.000 3.525
Nb 2.590 2.590 1.766
Nb 0.000 0.000 7.033
O 0.890 4.289 5.407
O 4.289 0.890 5.407
O 1.699 1.699 0.139
O 3.480 3.480 0.139
O 1.163 4.016 1.933
O 4.016 1.163 1.933
O 1.427 1.427 7.201
O 3.753 3.753 7.201
O 4.174 1.006 8.444
O 1.006 4.174 8.444
O 3.596 3.596 3.176
O 1.584 1.584 3.176
```

Entry from the Alexandria database: a geometry-optimized AcHoNb2O8 structure (PBE).

- E_tot: -105.34 eV/cell
- Crystal system: tetragonal
- DOS(E_F): 0.000 states/eV per atom
- Calculated volume: 14.1 Å³/atom

Structure (extended XYZ):
```
12
Lattice="-1.739 -1.355 4.934 4.512 -2.864 0.804 1.204 6.809 -0.665" Properties=species:S:1:pos:R:3 pbc="T T T"
Ac 0.426 1.673 3.569
Ho 0.000 0.000 0.000
Nb 1.386 -2.109 2.869
Nb 3.551 0.918 1.504
O 2.615 -2.289 4.301
O 1.003 -0.395 2.156
O 2.910 1.858 3.024
O 5.132 1.683 0.783
O 2.207 0.988 0.165
O 3.956 -0.856 2.043
O 3.396 3.761 0.768
O 0.940 4.106 2.920
```